# AlMo2H, relaxed, DFT PBE-GGA
# Raw total energy, eV/atom: -6.39
# Spin magnetization, μB per atom: 0.000
data_AlMo2H
_cell_length_a 4.2210
_cell_length_b 4.2210
_cell_length_c 4.2210
_cell_angle_alpha 60.00
_cell_angle_beta 60.00
_cell_angle_gamma 60.00
_symmetry_space_group_name_H-M 'P 1'
_symmetry_Int_Tables_number 1
loop_
_symmetry_equiv_pos_as_xyz
'x,y,z'
loop_
_atom_site_label
_atom_site_type_symbol
_atom_site_fract_x
_atom_site_fract_y
_atom_site_fract_z
_atom_site_occupancy
H1 H 0.0000 0.0000 0.0000 1
Mo1 Mo 0.7500 0.7500 0.7500 1
Mo2 Mo 0.2500 0.2500 0.2500 1
Al1 Al 0.5000 0.5000 0.5000 1

=====

# Al2MoH, relaxed, DFT PBE-GGA
# Raw total energy, eV/atom: -5.30
# Spin magnetization, μB per atom: 0.000
data_Al2MoH
_cell_length_a 6.3417
_cell_length_b 6.3417
_cell_length_c 5.1138
_cell_angle_alpha 51.68
_cell_angle_beta 51.68
_cell_angle_gamma 90.00
_symmetry_space_group_name_H-M 'P 1'
_symmetry_Int_Tables_number 1
loop_
_symmetry_equiv_pos_as_xyz
'x,y,z'
loop_
_atom_site_label
_atom_site_type_symbol
_atom_site_fract_x
_atom_site_fract_y
_atom_site_fract_z
_atom_site_occupancy
Al1 Al 0.5370 0.1250 0.2500 1
Al2 Al 0.2130 0.6250 0.2500 1
Al3 Al 0.3750 0.4630 0.7500 1
Al4 Al 0.8750 0.7870 0.7500 1
H1 H 0.2500 0.7500 0.5000 1
H2 H 0.5000 0.5000 0.0000 1
Mo1 Mo 0.0000 0.0000 0.0000 1
Mo2 Mo 0.7500 0.2500 0.5000 1

=====

# AlMo2H, relaxed, DFT PBE-GGA
# Raw total energy, eV/atom: -6.98
# Spin magnetization, μB per atom: 0.000
data_AlMo2H
_cell_length_a 5.9565
_cell_length_b 5.9565
_cell_length_c 5.1065
_cell_angle_alpha 54.32
_cell_angle_beta 54.32
_cell_angle_gamma 90.00
_symmetry_space_group_name_H-M 'P 1'
_symmetry_Int_Tables_number 1
loop_
_symmetry_equiv_pos_as_xyz
'x,y,z'
loop_
_atom_site_label
_atom_site_type_symbol
_atom_site_fract_x
_atom_site_fract_y
_atom_site_fract_z
_atom_site_occupancy
Mo1 Mo 0.3750 0.4803 0.7500 1
Mo2 Mo 0.8750 0.7697 0.7500 1
Mo3 Mo 0.2303 0.6250 0.2500 1
Mo4 Mo 0.5197 0.1250 0.2500 1
Al1 Al 0.0000 0.0000 0.0000 1
Al2 Al 0.7500 0.2500 0.5000 1
H1 H 0.5000 0.5000 0.0000 1
H2 H 0.2500 0.7500 0.5000 1

=====

- What is the spin magnetization in the second record?
  0.000 μB per atom

=====

- Among the records above, which one has the lowest raw total energy?
  number 3

=====

- Look up the raw total energy of the second one.
  -5.30 eV/atom